Below is TlIn4Pb4 after structural relaxation, with properties calculated at the PBE-GGA level.

Cell lengths 10.496, 10.496, 4.854 Å; angles 90.00, 90.00, 90.00 degrees
Space group I4/mmm (No. 139)
Asymmetric unit:
1 Tl 0.000 0.000 0.000
2 In 0.000 0.338 0.000
3 Pb 0.169 0.169 0.500

Summary:
- energy relative to the lowest polymorph listed for this composition (kcal/mol of atoms) = 0.00
- formation energy from the elements (meV/atom) = 15.3
- size of the total moment (μB/f.u.) = 0.0